VASP calculation (GGA-PBE) on a geometry-optimized Zn2AuCl structure.

Cell: 5.392 5.392 5.392 Å, 144.32 107.75 83.28°
Sites, in units of the cell vectors:
1 Cl 0.250 0.750 0.500
2 Zn 0.998 0.998 0.000
3 Zn 0.502 0.502 0.000
4 Au 0.750 0.250 0.500

Summary:
**DOS(E_F)**: 0.81 states/eV per cell
**Energy relative to the elements, uncorrected**: -0.12 eV per atom
**Electronic total energy**: -2.0411 eV/atom
**Space-group type**: Immm, No. 71
**Energy relative to the lowest polymorph listed for this composition**: 173 meV/atom